[1]
DFT (GGA-PBE) results for crystalline ErMgP at its relaxed geometry.

a = 4.2312 Å, b = 6.3139 Å, c = 9.9219 Å
α = 90.00°, β = 90.00°, γ = 90.00°
Atoms (fractional coordinates):
Mg: 0.7500 0.0443 0.0965
Mg: 0.2500 0.9557 0.9035
Mg: 0.7500 0.4557 0.5965
Mg: 0.2500 0.5443 0.4035
Er: 0.7500 0.5496 0.1611
Er: 0.2500 0.4504 0.8389
Er: 0.7500 0.9504 0.6611
Er: 0.2500 0.0496 0.3389
P: 0.2500 0.2262 0.5896
P: 0.7500 0.7738 0.4104
P: 0.2500 0.2738 0.0896
P: 0.7500 0.7262 0.9104

Calculated values
N(E_F)	0.36	states/eV/atom
space group	Pnma
E_form	-2.16	eV per formula unit

=====

[2]
DFT (GGA-PBE) results for crystalline Ag4HgSeCl2 at its relaxed geometry.

a = 7.9903 Å, b = 7.9903 Å, c = 7.9101 Å
α = 119.79°, β = 119.79°, γ = 87.42°
Atoms (fractional coordinates):
Cl: 0.5000 0.5000 0.0000
Cl: 0.5000 0.0000 0.0000
Cl: 0.5000 0.0000 0.5000
Cl: 0.0000 0.0000 0.5000
Ag: 0.2555 0.2427 0.0271
Ag: 0.7445 0.7573 0.9729
Ag: 0.2552 0.7605 0.0081
Ag: 0.7427 0.7555 0.5271
Ag: 0.7395 0.2448 0.4919
Ag: 0.2573 0.2445 0.4729
Ag: 0.7448 0.2395 0.9919
Ag: 0.2605 0.7552 0.5081
Hg: 0.0000 0.5000 0.0000
Hg: 0.0000 0.5000 0.5000
Se: 0.5000 0.5000 0.5000
Se: 0.0000 0.0000 0.0000

Calculated values
energy relative to the elements, uncorrected	-0.1659	eV per atom
N(E_F)	0.11	states/eV/atom
space group	C2/c

=====

[3]
DFT (GGA-PBE) results for crystalline Rb5CdHg at its relaxed geometry.

a = 9.9521 Å, b = 9.9521 Å, c = 11.3695 Å
α = 65.06°, β = 65.06°, γ = 88.50°
Atoms (fractional coordinates):
Rb: 0.3632 0.6823 0.8751
Rb: 0.0558 0.4442 0.7500
Rb: 0.6226 0.7837 0.0881
Rb: 0.8177 0.1368 0.6249
Rb: 0.2837 0.1226 0.5881
Rb: 0.3774 0.2163 0.9119
Rb: 0.6368 0.3177 0.1249
Rb: 0.9442 0.5558 0.2500
Rb: 0.7163 0.8774 0.4119
Rb: 0.1823 0.8632 0.3751
Hg: 0.7862 0.7138 0.7500
Hg: 0.2138 0.2862 0.2500
Cd: 0.0000 0.0000 0.0000
Cd: 0.5000 0.5000 0.5000

Calculated values
N(E_F)	0.60	states/eV/atom
space group	C2/c
E_form	-0.05	eV per formula unit

=====

[4]
DFT (GGA-PBE) results for crystalline CdP2W at its relaxed geometry.

a = 2.9072 Å, b = 2.9072 Å, c = 9.9830 Å
α = 90.00°, β = 90.00°, γ = 112.26°
Atoms (fractional coordinates):
P: 0.0000 0.0000 0.0663
P: 0.0000 0.0000 0.4337
W: 0.5000 0.5000 0.2500
Cd: 0.5000 0.5000 0.7500

Calculated values
offset from the most stable computed form	0.296	eV per atom
N(E_F)	0.70	states/eV/atom
space group	Cmmm
E_form	1.09	eV per formula unit

=====

[5]
DFT (GGA-PBE) results for crystalline GdLuHgBi at its relaxed geometry.

a = 5.3657 Å, b = 5.3657 Å, c = 5.3657 Å
α = 60.00°, β = 60.00°, γ = 60.00°
Each line ends with the local moment (μB).
Atoms (fractional coordinates):
Lu: 0.5000 0.5000 0.5000  0.19
Gd: 0.0000 0.0000 0.0000  7.17
Hg: 0.7500 0.7500 0.7500  0.00
Bi: 0.2500 0.2500 0.2500  0.00

Calculated values
N(E_F)	0.75	states/eV/atom
space group	F-43m
E_form	-1.93	eV per formula unit

=====

[6]
DFT (GGA-PBE) results for crystalline Li7Ti7Nb5O30 at its relaxed geometry.

a = 5.1796 Å, b = 5.1796 Å, c = 23.7704 Å
α = 90.00°, β = 90.00°, γ = 120.00°
Atoms (fractional coordinates):
Li: 0.0000 0.0000 0.7259
Li: 0.6667 0.3333 0.7976
Li: 0.3333 0.6667 0.9199
Li: 0.3333 0.6667 0.0772
Li: 0.3333 0.6667 0.6291
Li: 0.0000 0.0000 0.4630
Li: 0.3333 0.6667 0.3688
Nb: 0.3333 0.6667 0.4974
Nb: 0.3333 0.6667 0.2008
Nb: 0.6667 0.3333 0.6908
Nb: 0.0000 0.0000 0.5941
Nb: 0.3333 0.6667 0.7972
O: 0.3549 0.0564 0.9575
O: 0.0047 0.6688 0.2548
O: 0.0015 0.5784 0.8527
O: 0.7015 0.6451 0.9575
O: 0.3111 0.2752 0.0530
O: 0.3816 0.0049 0.7475
O: 0.9951 0.3767 0.7475
O: 0.7081 0.0330 0.6482
O: 0.3248 0.2919 0.6482
O: 0.2734 0.9339 0.1535
O: 0.0661 0.3396 0.1535
O: 0.2687 0.9345 0.5466
O: 0.3491 0.0653 0.3459
O: 0.7248 0.0359 0.0530
O: 0.6658 0.7313 0.5466
O: 0.9347 0.2838 0.3459
O: 0.6604 0.7266 0.1535
O: 0.6233 0.6184 0.7475
O: 0.7162 0.6509 0.3459
O: 0.3312 0.3359 0.2548
O: 0.9670 0.6752 0.6482
O: 0.9641 0.6889 0.0530
O: 0.0046 0.6288 0.4452
O: 0.3712 0.3757 0.4452
O: 0.0655 0.3342 0.5466
O: 0.5770 0.9985 0.8527
O: 0.6641 0.9953 0.2548
O: 0.4216 0.4230 0.8527
O: 0.6243 0.9954 0.4452
O: 0.9436 0.2985 0.9575
Ti: 0.0000 0.0000 0.3085
Ti: 0.6667 0.3333 0.8964
Ti: 0.6667 0.3333 0.4091
Ti: 0.6667 0.3333 0.0204
Ti: 0.0000 0.0000 0.1149
Ti: 0.0000 0.0000 0.9894
Ti: 0.6667 0.3333 0.2851

Calculated values
energy relative to the elements, uncorrected	-2.6570	eV per atom
N(E_F)	0.00	states/eV/atom
space group	P3

=====

no.,magnetic moment (μB per cell)
1,0.000
2,0.000
3,0.000
4,0.000
5,7.734
6,0.000